5
Lattice="-2.093 2.093 8.798 2.093 -2.093 8.798 2.093 2.093 -8.798" Properties=species:S:1:pos:R:3 comment="SnHg2Bi2 | Alexandria via LeMat-Bulk | PBE | relaxed" polymorph_energy_mev_per_atom=31.8 e_form_mev_per_atom=107 pbc="T T T"
Sn 0.000 0.000 0.000
Hg 2.093 0.000 4.399
Hg 0.000 2.093 4.399
Bi 0.000 0.000 7.223
Bi 0.000 0.000 10.372